The following is a DFT calculation (GGA-PBE) of a relaxed structure of Zn2InPd2.

a b c (Å): 3.572 3.572 13.367
angles (deg): 90.00 90.00 90.00
Space group I4/mmm (No. 139)
Inequivalent atoms, fractional coordinates:
Zn1 0.000 0.500 0.250
In1 0.000 0.000 0.000
Pd1 0.000 0.000 0.397

The density of states at the Fermi level comes out at 2.9 states/eV/cell. As for the total magnetization: 0.00 μB/atom. The value obtained for the offset from the most stable computed form is 54 meV per atom. The value obtained for the volume is 17.06 Å³/atom.

=====

The following is a DFT calculation (GGA-PBE) of a relaxed structure of ZnIn5Pd6.

a b c (Å): 4.578 6.602 13.803
angles (deg): 90.00 90.00 90.00
Space group Immm (No. 71)
Inequivalent atoms, fractional coordinates:
Zn1 0.000 0.000 0.000
In1 0.000 0.000 0.333
In2 0.000 0.500 0.000
In3 0.000 0.500 0.333
Pd1 0.000 0.243 0.160
Pd2 0.000 0.260 0.500

The density of states at the Fermi level comes out at 7.2 states/eV/cell. As for the total magnetization: 0.00 μB/atom. The value obtained for the volume is 17.38 Å³/atom.

=====

Number 1: DFT formation energy -347 meV per atom. Number 2: DFT formation energy -497 meV per atom.